Record 1
MgNbRh3 (PBE, relaxed); calculated density = 8.70 g cm⁻³; space group = Pnma; uncorrected energy = -6.899 eV per atom; calculated volume = 325 Å³ per cell
1.0
-2.155 6.495 -1.728
-0.502 -1.812 -6.188
-6.762 -1.946 1.118
Nb Mg Rh
4 4 12
Direct
0.500 0.000 0.500
0.000 0.500 0.500
0.500 0.000 0.000
0.000 0.500 0.000
0.659 0.404 0.250
0.159 0.096 0.250
0.341 0.596 0.750
0.841 0.904 0.750
0.846 0.134 0.449
0.654 0.634 0.551
0.394 0.735 0.250
0.154 0.866 0.551
0.346 0.366 0.449
0.154 0.866 0.949
0.346 0.366 0.051
0.894 0.765 0.250
0.106 0.235 0.750
0.606 0.265 0.750
0.846 0.134 0.051
0.654 0.634 0.949

Record 2
MgNbRh4 (PBE, relaxed); calculated density = 9.54 g cm⁻³; space group = C2/m; uncorrected energy = -7.111 eV per atom; calculated volume = 92 Å³ per cell
1.0
-0.737 -1.893 1.950
3.738 -3.133 0.404
1.183 3.739 6.109
Rh Mg Nb
4 1 1
Direct
0.337 0.997 0.328
0.663 0.003 0.672
0.828 0.504 0.839
0.172 0.496 0.161
0.500 0.500 0.500
0.000 0.000 0.000

Record 3
MgNbRh3 (PBE, relaxed); calculated density = 6.67 g cm⁻³; space group = Pm-3m; uncorrected energy = -6.166 eV per atom; calculated volume = 106 Å³ per cell
1.0
-0.726 2.550 3.922
1.196 -3.736 2.650
4.523 1.397 -0.071
Nb Rh Mg
1 3 1
Direct
0.000 0.000 0.000
0.000 0.500 0.000
0.500 0.000 0.000
0.000 0.000 0.500
0.500 0.500 0.500

Record 4
MgNb2Rh9 (PBE, relaxed); calculated density = 10.60 g cm⁻³; space group = P4/mmm; uncorrected energy = -7.751 eV per atom; calculated volume = 178 Å³ per cell
1.0
-2.083 -1.197 -3.078
-2.294 -2.094 2.366
-7.103 9.179 1.236
Rh Nb Mg
9 2 1
Direct
0.000 0.500 0.500
0.500 0.000 0.831
0.500 0.000 0.169
0.000 0.500 0.831
0.500 0.500 0.665
0.500 0.500 0.335
0.000 0.500 0.169
0.500 0.000 0.500
0.500 0.500 0.000
0.000 0.000 0.671
0.000 0.000 0.329
0.000 0.000 0.000

Record 5
MgNbRh (PBE, relaxed); calculated density = 6.69 g cm⁻³; space group = Fmmm; uncorrected energy = -6.426 eV per atom; calculated volume = 109 Å³ per cell
1.0
5.334 0.000 0.000
2.667 3.615 0.000
2.667 0.000 5.668
Rh Nb Mg
2 2 2
Direct
0.618 0.000 0.764
0.382 0.000 0.236
0.750 0.500 0.500
0.250 0.500 0.500
0.820 0.360 0.000
0.180 0.640 0.000

Record 6
MgNb2Rh (PBE, relaxed); calculated density = 7.54 g cm⁻³; space group = Fm-3m; uncorrected energy = -7.086 eV per atom; calculated volume = 69 Å³ per cell
1.0
0.879 -3.032 -3.348
0.732 -4.423 1.036
-3.141 -3.174 -1.112
Nb Mg Rh
2 1 1
Direct
0.750 0.750 0.750
0.250 0.250 0.250
0.000 0.000 0.000
0.500 0.500 0.500

Record 7
MgNb2Rh2 (PBE, relaxed); calculated density = 8.23 g cm⁻³; space group = Cmmm; uncorrected energy = -7.559 eV per atom; calculated volume = 84 Å³ per cell
1.0
-1.292 0.721 -2.660
-1.598 -2.559 0.083
-7.505 3.050 4.473
Nb Rh Mg
2 2 1
Direct
0.000 0.815 0.370
0.000 0.185 0.630
0.500 0.405 0.190
0.500 0.595 0.810
0.000 0.000 0.000

Record 8
Mg4NbRh5 (PBE, relaxed); calculated density = 7.54 g cm⁻³; space group = P4/mmm; uncorrected energy = -5.832 eV per atom; calculated volume = 155 Å³ per cell
1.0
-2.073 1.874 1.491
-0.917 -2.443 1.795
10.800 3.627 10.454
Rh Nb Mg
5 1 4
Direct
0.500 0.500 0.500
0.500 0.500 0.300
0.500 0.500 0.097
0.500 0.500 0.700
0.500 0.500 0.903
0.000 0.000 0.000
0.000 0.000 0.207
0.000 0.000 0.599
0.000 0.000 0.793
0.000 0.000 0.401

Record 9
Mg3NbRh4 (PBE, relaxed); calculated density = 7.70 g cm⁻³; space group = Pmmm; uncorrected energy = -6.092 eV per atom; calculated volume = 124 Å³ per cell
1.0
-1.639 2.443 -1.316
-3.302 -2.772 -1.034
-3.764 1.615 7.688
Nb Mg Rh
1 3 4
Direct
0.500 0.500 0.000
0.500 0.500 0.500
0.500 0.000 0.257
0.500 0.000 0.743
0.000 0.500 0.236
0.000 0.000 0.500
0.000 0.500 0.764
0.000 0.000 0.000

Record 10
Mg2NbRh2 (PBE, relaxed); calculated density = 7.00 g cm⁻³; space group = P4/mbm; uncorrected energy = -5.823 eV per atom; calculated volume = 165 Å³ per cell
1.0
7.304 0.000 0.000
0.000 7.304 0.000
0.000 0.000 3.091
Mg Nb Rh
4 2 4
Direct
0.360 0.140 0.500
0.640 0.860 0.500
0.860 0.360 0.500
0.140 0.640 0.500
0.000 0.000 0.000
0.500 0.500 0.000
0.841 0.659 0.000
0.159 0.341 0.000
0.341 0.841 0.000
0.659 0.159 0.000

Record 11
MgNbRh4 (PBE, relaxed); calculated density = 9.60 g cm⁻³; space group = Pm; uncorrected energy = -7.155 eV per atom; calculated volume = 91 Å³ per cell
1.0
2.865 0.000 0.266
0.001 4.470 -0.005
0.766 0.007 7.215
Rh Nb Mg
4 1 1
Direct
0.691 0.497 0.370
0.482 0.997 0.787
0.024 0.497 0.702
0.811 0.997 0.129
0.143 0.997 0.465
0.357 0.497 0.036

Record 12
Mg2NbRh (PBE, relaxed); calculated density = 5.95 g cm⁻³; space group = Fm-3m; uncorrected energy = -4.977 eV per atom; calculated volume = 68 Å³ per cell
1.0
-1.225 -0.369 4.405
-0.305 3.755 2.618
-4.108 1.511 1.373
Nb Mg Rh
1 2 1
Direct
0.000 0.000 0.000
0.250 0.250 0.250
0.750 0.750 0.750
0.500 0.500 0.500

Number 1: magnetization 0.0000 μB/atom. Number 2: magnetization 0.0000 μB/atom. Number 3: magnetization 0.0000 μB/atom. Number 4: magnetization 0.0000 μB/atom. Number 5: magnetization 0.0000 μB/atom. Number 6: magnetization 0.0000 μB/atom. Number 7: magnetization 0.0000 μB/atom. Number 8: magnetization 0.0000 μB/atom. Number 9: magnetization 0.0000 μB/atom. Number 10: magnetization 0.0000 μB/atom. Number 11: magnetization 0.0000 μB/atom. Number 12: magnetization 0.1117 μB/atom.